# PrAlZn2Ni4 | Alexandria | GGA-PBE | relaxed
data_PrAlZn2Ni4
_space_group_name_H-M_alt 'R -3 m'
_space_group_IT_number 166
_space_group_name_Hall '-R 3 2"'
_cell_length_a 4.0767
_cell_length_b 4.0767
_cell_length_c 25.0948
_cell_angle_alpha 90.00
_cell_angle_beta 90.00
_cell_angle_gamma 120.00
loop_
_atom_site_label
_atom_site_fract_x
_atom_site_fract_y
_atom_site_fract_z
Pr1 0.0000 0.0000 0.0000
Al1 0.0000 0.0000 0.5000
Zn1 0.0000 0.0000 0.2366
Ni1 0.0000 0.0000 0.1324
Ni2 0.0000 0.0000 0.4065
# total energy = -4.61 eV per atom
# D(E_F) = 14.8 states/eV per cell
# E_form = -0.34 eV per atom

# Pm4InHg2Pd | Alexandria | GGA-PBE | relaxed
data_Pm4InHg2Pd
_space_group_name_H-M_alt 'R -3 m'
_space_group_IT_number 166
_space_group_name_Hall '-R 3 2"'
_cell_length_a 5.3407
_cell_length_b 5.3407
_cell_length_c 25.9631
_cell_angle_alpha 90.00
_cell_angle_beta 90.00
_cell_angle_gamma 120.00
loop_
_atom_site_label
_atom_site_fract_x
_atom_site_fract_y
_atom_site_fract_z
Pm1 0.0000 0.0000 0.1165
Pm2 0.0000 0.0000 0.3690
In1 0.0000 0.0000 0.5000
Hg1 0.0000 0.0000 0.2422
Pd1 0.0000 0.0000 0.0000
# total energy = -3.98 eV per atom
# D(E_F) = 19.6 states/eV per cell
# E_form = -0.54 eV per atom